VASP calculation (PBE) on a relaxed TaNb2ReMo crystal.

Output
Total moment = 0.0001 μB/atom
Energy relative to the elements = 1.96 eV/atom

a = 4.8041 Å, b = 4.8041 Å, c = 4.6876 Å
α = 90.00°, β = 90.00°, γ = 90.00°
Space group P4/mmm (No. 123)
Asymmetric unit:
1 Ta 0.0000 0.0000 0.0000
2 Nb 0.0000 0.5000 0.0000
3 Re 0.0000 0.0000 0.5000
4 Mo 0.5000 0.5000 0.5000